(1)
A relaxed La8Cd2Ag crystal, computed with PBE.

abc: 9.779 9.779 9.779
angles: 146.98 135.35 56.64
Element x y z (fractional)
1 La 0.125 0.360 0.765
2 La 0.195 0.195 0.000
3 La 0.271 0.000 0.271
4 La 0.404 0.640 0.765
5 La 0.596 0.360 0.235
6 La 0.729 0.000 0.729
7 La 0.805 0.805 0.000
8 La 0.875 0.640 0.235
9 Cd 0.315 0.815 0.500
10 Cd 0.685 0.185 0.500
11 Ag 0.000 0.500 0.500

Calculated values
DFT formation energy	-81	meV per atom
relative energy among the computed polymorphs	53.0	meV/atom

***

(2)
A relaxed CeCdAgHg crystal, computed with PBE.

abc: 5.108 5.108 5.108
angles: 60.00 60.00 60.00
Element x y z (fractional)
1 Ce 0.000 0.000 0.000
2 Cd 0.500 0.500 0.500
3 Ag 0.750 0.750 0.750
4 Hg 0.250 0.250 0.250

Calculated values
DFT formation energy	-260	meV per atom

***

Number 1: DFT total energy -45.0 eV per formula unit. Number 2: DFT total energy -11.0 eV per formula unit.